No. 1
Computed, not measured: a crystal of La2AuCl relaxed with PBEsol at the SCAN level of DFT.

a b c (Å): 7.086 7.086 7.086
angles (deg): 35.62 35.62 35.62
Element x y z (fractional)
La 0.247 0.247 0.247
La 0.753 0.753 0.753
Au 0.000 0.000 0.000
Cl 0.500 0.500 0.500

Computed properties:
ΔE_f (raw)	-553	kJ/mol of formula units
space group	R-3m (166)
polymorph energy (0 for the lowest one)	39	meV/atom
magnetization	0.000	μB per cell

No. 2
Computed, not measured: a crystal of BaTeAsRu2 relaxed with PBEsol at the SCAN level of DFT.

a b c (Å): 4.812 4.812 6.295
angles (deg): 90.00 90.00 90.00
Element x y z (fractional)
Ba 0.000 0.000 0.000
Te 0.000 0.000 0.500
As 0.500 0.500 0.000
Ru 0.000 0.500 0.500
Ru 0.500 0.000 0.500

Computed properties:
ΔE_f (raw)	415	kJ/mol of formula units
space group	P4/mmm (123)
magnetization	1.959	μB per cell

No. 3
Computed, not measured: a crystal of MgBMo3 relaxed with PBEsol at the SCAN level of DFT.

a b c (Å): 4.205 4.205 4.205
angles (deg): 90.00 90.00 90.00
Element x y z (fractional)
Mg 0.000 0.000 0.000
B 0.500 0.500 0.500
Mo 0.000 0.500 0.500
Mo 0.500 0.000 0.500
Mo 0.500 0.500 0.000

Computed properties:
DFT formation energy	371	meV per atom
space group	Pm-3m (221)
magnetization	0.000	μB per cell

No. 4
Computed, not measured: a crystal of SrLi2Au relaxed with PBEsol at the SCAN level of DFT.

a b c (Å): 4.570 4.816 4.606
angles (deg): 90.00 98.59 90.00
Element x y z (fractional)
Sr 0.000 0.000 0.000
Li 0.323 0.500 0.677
Li 0.677 0.500 0.323
Au 0.500 0.000 0.500

Computed properties:
DFT formation energy	-417	meV per atom
space group	P2/m (10)
polymorph energy (0 for the lowest one)	108	meV/atom
magnetization	0.000	μB per cell